Entry 1:
{
  "formula": "FeTeAs2",
  "functional": "PBE",
  "state": "relaxed",
  "sg": "P4/mmm, No. 123",
  "e_tot_ev_per_atom": -4.59,
  "cell": [[4.874, 0.000, 0.000], [0.000, 4.874, 0.000], [0.000, 0.000, 3.320]],
  "species": ["As", "Te", "As", "Fe"],
  "fractional_positions": [[0.000, 0.000, 0.000], [0.000, 0.500, 0.500], [0.500, 0.500, 0.000], [0.500, 0.000, 0.500]]
}

=====

Entry 2:
{
  "formula": "Tb3MgAs4",
  "functional": "PBE",
  "state": "relaxed",
  "sg": "Pm-3m, No. 221",
  "ef_ev_per_atom": -1.178,
  "cell": [[-3.245, 0.357, -4.816], [-4.360, -2.712, 2.736], [-2.077, 5.135, 1.780]],
  "species": ["As", "Tb", "Tb", "As", "As", "Tb", "As", "Mg"],
  "fractional_positions": [[0.000, 0.000, 0.500], [0.500, 0.000, 0.500], [0.500, 0.500, 0.000], [0.000, 0.500, 0.000], [0.500, 0.500, 0.500], [0.000, 0.500, 0.500], [0.500, 0.000, 0.000], [0.000, 0.000, 0.000]]
}

=====

Entry 3:
{
  "formula": "CeY2Mg6",
  "functional": "PBE",
  "state": "relaxed",
  "sg": "P6/mmm, No. 191",
  "ef_ev_per_atom": -0.051,
  "cell": [[4.544, -7.870, 0.000], [4.544, 7.870, 0.000], [0.000, 0.000, 3.295]],
  "species": ["Y", "Ce", "Y", "Mg", "Mg", "Mg", "Mg", "Mg", "Mg"],
  "fractional_positions": [[0.667, 0.333, 0.000], [0.000, 0.000, 0.000], [0.333, 0.667, 0.000], [0.335, 0.000, 0.500], [0.000, 0.665, 0.500], [0.665, 0.000, 0.500], [0.335, 0.335, 0.500], [0.665, 0.665, 0.500], [0.000, 0.335, 0.500]]
}

=====

Entry 4:
{
  "formula": "SrSiHg",
  "functional": "PBE",
  "state": "relaxed",
  "sg": "I4mm, No. 107",
  "e_tot_ev_per_atom": -2.53,
  "cell": [[6.201, -0.008, 0.009], [5.079, 3.558, 0.018], [1.123, 0.345, 3.550]],
  "species": ["Si", "Hg", "Sr"],
  "fractional_positions": [[0.356, 0.356, 0.644], [0.977, 0.977, 0.023], [0.667, 0.667, 0.333]]
}

=====

Entry 5:
{
  "formula": "Sm6MgCd3",
  "functional": "PBE",
  "state": "relaxed",
  "sg": "P2_1/m, No. 11",
  "ef_ev_per_atom": -0.174,
  "cell": [[5.450, 0.000, 0.000], [0.000, 8.836, -3.081], [0.000, -0.035, 11.990]],
  "species": ["Cd", "Cd", "Sm", "Cd", "Sm", "Sm", "Sm", "Sm", "Sm", "Mg", "Cd", "Sm", "Cd", "Sm", "Sm", "Cd", "Sm", "Mg", "Sm", "Sm"],
  "fractional_positions": [[0.750, 0.456, 0.622], [0.250, 0.377, 0.781], [0.250, 0.085, 0.873], [0.250, 0.544, 0.378], [0.750, 0.915, 0.127], [0.250, 0.138, 0.158], [0.750, 0.343, 0.322], [0.250, 0.462, 0.086], [0.750, 0.156, 0.705], [0.250, 0.958, 0.583], [0.250, 0.770, 0.977], [0.750, 0.862, 0.842], [0.750, 0.623, 0.219], [0.750, 0.538, 0.914], [0.250, 0.844, 0.295], [0.750, 0.230, 0.023], [0.250, 0.657, 0.678], [0.750, 0.042, 0.417], [0.750, 0.739, 0.504], [0.250, 0.261, 0.496]]
}

=====

Entry 6:
{
  "formula": "V3SnH",
  "functional": "PBE",
  "state": "relaxed",
  "sg": "P2_1/m, No. 11",
  "e_tot_ev_per_atom": -6.90,
  "cell": [[-13.602, 10.888, -1.016], [-0.588, -1.200, -4.991], [3.324, -6.237, 1.108]],
  "species": ["Sn", "V", "H", "V", "Sn", "V", "Sn", "H", "V", "V", "V", "V", "V", "V", "H", "H", "V", "V", "V", "Sn"],
  "fractional_positions": [[0.089, 0.250, 0.088], [0.666, 0.750, 0.670], [0.183, 0.250, 0.779], [0.334, 0.250, 0.330], [0.411, 0.750, 0.412], [0.750, 0.500, 0.250], [0.589, 0.250, 0.588], [0.817, 0.750, 0.221], [0.250, 0.000, 0.750], [0.834, 0.250, 0.830], [0.250, 0.500, 0.750], [0.750, 0.000, 0.250], [0.975, 0.250, 0.473], [0.166, 0.750, 0.170], [0.317, 0.750, 0.721], [0.683, 0.250, 0.279], [0.475, 0.250, 0.973], [0.025, 0.750, 0.527], [0.525, 0.750, 0.027], [0.911, 0.750, 0.912]]
}

=====

Entry 7:
{
  "formula": "AcSm7Y3",
  "functional": "PBE",
  "state": "relaxed",
  "sg": "P3m1, No. 156",
  "ef_ev_per_atom": 0.203,
  "polymorph_energy_ev_per_atom": 0.0000,
  "cell": [[-0.004, -1.262, 8.691], [0.205, -7.157, -1.039], [6.160, 3.754, 0.548]],
  "species": ["Sm", "Y", "Ac", "Sm", "Sm", "Y", "Sm", "Sm", "Sm", "Y", "Sm"],
  "fractional_positions": [[0.111, 0.666, 0.833], [0.787, 0.502, 0.003], [0.443, 0.333, 0.667], [0.452, 0.336, 0.168], [0.111, 0.167, 0.833], [0.787, 0.502, 0.498], [0.452, 0.832, 0.664], [0.111, 0.167, 0.334], [0.452, 0.832, 0.168], [0.787, 0.997, 0.498], [0.122, 0.667, 0.333]]
}

=====

Entry 8:
{
  "formula": "Tm3Ga3Pd",
  "functional": "PBE",
  "state": "relaxed",
  "sg": "C2/m, No. 12",
  "ef_ev_per_atom": -0.728,
  "cell": [[4.243, 0.000, 0.639], [2.092, 5.279, 0.514], [0.139, 0.053, 13.479]],
  "species": ["Pd", "Pd", "Tm", "Ga", "Ga", "Tm", "Ga", "Tm", "Tm", "Tm", "Ga", "Tm", "Ga", "Ga"],
  "fractional_positions": [[0.245, 0.900, 0.611], [0.755, 0.100, 0.389], [0.470, 0.680, 0.380], [0.133, 0.273, 0.460], [0.024, 0.181, 0.771], [0.737, 0.756, 0.769], [0.976, 0.819, 0.229], [0.530, 0.320, 0.620], [0.394, 0.287, 0.925], [0.606, 0.713, 0.075], [0.110, 0.855, 0.924], [0.263, 0.244, 0.231], [0.867, 0.727, 0.540], [0.890, 0.145, 0.076]]
}